DyErCN2O2 | PBE | relaxed

Calculated values
**Total moment**: 0.00 μB/f.u.
**V**: 13.61 Å³/atom
**Electronic total energy**: -8.621 eV per atom

Unit cell a=3.680 b=3.680 c=8.123 alpha=90.00 beta=90.00 gamma=120.00
Positions (direct):
C 0.000 0.000 0.999
Dy 0.333 0.667 0.323
Er 0.667 0.333 0.677
N 0.000 0.000 0.151
N 0.000 0.000 0.847
O 0.667 0.333 0.399
O 0.333 0.667 0.605

InPOsO | PBE | relaxed

Calculated values
**Total moment**: 0.00 μB/f.u.
**V**: 14.94 Å³/atom
**Offset from the most stable computed form**: 0 kJ/mol of formula units

Unit cell a=4.027 b=4.027 c=7.369 alpha=90.00 beta=90.00 gamma=90.00
Positions (direct):
In 0.000 0.000 0.134
In 0.500 0.500 0.866
O 0.500 0.000 0.000
O 0.000 0.500 0.000
Os 0.500 0.000 0.500
Os 0.000 0.500 0.500
P 0.500 0.500 0.333
P 0.000 0.000 0.667

Q: Number 2 is which compound?
A: InPOsO

What did the first record say?
DyErCN2O2 | PBE | relaxed

Calculated values
**Total moment**: 0.00 μB/f.u.
**V**: 13.61 Å³/atom
**Electronic total energy**: -8.621 eV per atom

Unit cell a=3.680 b=3.680 c=8.123 alpha=90.00 beta=90.00 gamma=120.00
Positions (direct):
C 0.000 0.000 0.999
Dy 0.333 0.667 0.323
Er 0.667 0.333 0.677
N 0.000 0.000 0.151
N 0.000 0.000 0.847
O 0.667 0.333 0.399
O 0.333 0.667 0.605